# K5NpO8 (GGA-PBE, relaxed)
data_K5NpO8
_chemical_formula_sum 'K5 Np1 O8'
_cell_length_a 6.8213
_cell_length_b 6.8213
_cell_length_c 6.8213
_cell_angle_alpha 111.46
_cell_angle_beta 111.46
_cell_angle_gamma 105.57
_space_group_name_H-M_alt 'P 1'
_space_group_IT_number 1
loop_
_space_group_symop_operation_xyz
'x,y,z'
loop_
_atom_site_label
_atom_site_type_symbol
_atom_site_fract_x
_atom_site_fract_y
_atom_site_fract_z
K1 K 0.9207 0.2495 0.8793
K2 K 0.7505 0.6298 0.6712
K3 K 0.3702 0.0414 0.1207
K4 K 0.5000 0.5000 0.0000
K5 K 0.9586 0.0793 0.3288
Np1 Np 0.2500 0.7500 0.5000
O1 O 0.0207 0.6975 0.1766
O2 O 0.3025 0.4791 0.3232
O3 O 0.5558 0.9340 0.4419
O4 O 0.0660 0.5078 0.6218
O5 O 0.8860 0.4442 0.3782
O6 O 0.1559 0.9793 0.6768
O7 O 0.5209 0.8441 0.8234
O8 O 0.4922 0.1140 0.5581
# Uncorrected formation energy ... -1738 meV/atom
# Size of the total moment ... 0.01 μB per atom
# V ... 243.5 Å³/f.u.
# Raw total energy ... -82.42 eV/cell
# Space group ... I-4, No. 82